Entry from the Alexandria database: a relaxed structure of TlInC2 (GGA-PBE).

a = 4.446 Å, b = 4.446 Å, c = 4.446 Å
α = 60.00°, β = 60.00°, γ = 60.00°
Element x y z (fractional)
Tl 0.000 0.000 0.000
In 0.500 0.500 0.500
C 0.250 0.250 0.250
C 0.750 0.750 0.750

Summary:
space-group type	Fm-3m (225)
volume	62.15	Å³/f.u.
relative energy among the computed polymorphs	658	meV/atom
ΔE_f	2.3581	eV/atom
crystal system	cubic